A plane-wave DFT calculation with GGA-PBE was carried out for a relaxed structure of NaCa2Dy.

The calculation puts the energy of formation from the pure elements at 0.11 eV/atom. Its calculated density is 2.9 g cm⁻³. As for the magnetic moment: 0.00 μB/cell.

Cell: 3.7360 3.7360 12.5957 Å, 81.47 81.47 60.00°
Element x y z (fractional)
Ca1 0.2470 0.2470 0.2590
Na1 0.0000 0.0000 0.0000
Dy1 0.5000 0.5000 0.5000
Ca2 0.7530 0.7530 0.7410

***

A plane-wave DFT calculation with GGA-PBE was carried out for a relaxed structure of LiPdI.

As for the formation energy from raw total energies: -47.20 kJ/mol of atoms. Its calculated density is 5.1 g cm⁻³. As for the magnetic moment: 0.00 μB/cell.

Cell: 7.3290 3.9203 5.4907 Å, 90.00 95.59 90.00°
Element x y z (fractional)
Pd1 0.4109 0.2500 0.6103
I1 0.2127 0.7500 0.7990
Li1 0.3673 0.2500 0.1396
I2 0.7873 0.2500 0.2010
Pd2 0.5891 0.7500 0.3897
Li2 0.6327 0.7500 0.8604

***

A plane-wave DFT calculation with GGA-PBE was carried out for a relaxed structure of DyNbFe4.

The calculation puts the energy of formation from the pure elements at -0.08 eV/atom. Its calculated density is 9.1 g cm⁻³. As for the magnetic moment: 12.79 μB/cell.

Cell: 4.9728 4.9728 8.1777 Å, 90.00 90.00 120.00°
Site moments in Bohr magnetons follow the coordinates.
Element x y z (fractional)
Nb1 0.3333 0.6667 0.4449  -0.54
Fe1 0.1676 0.3352 0.7351  1.86
Fe2 0.8324 0.6648 0.2649  1.86
Dy1 0.3333 0.6667 0.0677  -0.47
Fe3 0.0000 0.0000 0.5000  1.84
Dy2 0.6667 0.3333 0.9323  -0.47
Fe4 0.3352 0.1676 0.2649  1.86
Nb2 0.6667 0.3333 0.5551  -0.54
Fe5 0.8324 0.1676 0.2649  1.86
Fe6 0.1676 0.8324 0.7351  1.86
Fe7 0.6648 0.8324 0.7351  1.86
Fe8 0.0000 0.0000 0.0000  2.03

***

A plane-wave DFT calculation with GGA-PBE was carried out for a relaxed structure of AlCdRu2.

The calculation puts the energy of formation from the pure elements at 0.18 eV/atom. Its calculated density is 9.1 g cm⁻³. As for the magnetic moment: 1.71 μB/cell.

Cell: 4.4525 4.4525 4.4525 Å, 60.00 60.00 60.00°
Site moments in Bohr magnetons follow the coordinates.
Element x y z (fractional)
Ru1 0.0000 0.0000 0.0000  0.93
Ru2 0.7500 0.7500 0.7500  0.73
Cd1 0.2500 0.2500 0.2500  0.00
Al1 0.5000 0.5000 0.5000  0.00

***

Number 1: energy relative to the lowest polymorph listed for this composition 0.6 kJ per mole of atoms. Number 2: energy relative to the lowest polymorph listed for this composition 6.6 kJ per mole of atoms. Number 3: energy relative to the lowest polymorph listed for this composition 0.0 kJ per mole of atoms. Number 4: energy relative to the lowest polymorph listed for this composition 24.4 kJ per mole of atoms.